(one)
An optimized crystal structure of ReIrRh2. Source: the Alexandria database, functional PBE.

Cell lengths 3.843, 3.843, 7.799 Å; angles 90.00, 90.00, 90.00 degrees
Space group I4/mmm (No. 139)
One atom of each set of equivalent atoms:
Re1 0.000 0.000 0.000 [2 per cell]
Ir1 0.000 0.000 0.500 [2 per cell]
Rh1 0.000 0.500 0.250 [4 per cell]

(two)
An optimized crystal structure of ReIrRh2. Source: the Alexandria database, functional PBE.

Cell lengths 3.310, 3.310, 5.401 Å; angles 90.00, 90.00, 90.00 degrees
Space group P4/mmm (No. 123)
One atom of each set of equivalent atoms:
Re1 0.000 0.000 0.000 [1 per cell]
Ir1 0.000 0.000 0.500 [1 per cell]
Rh1 0.500 0.500 0.249 [2 per cell]

(three)
An optimized crystal structure of ReIrRh2. Source: the Alexandria database, functional PBE.

Cell lengths 9.083, 2.726, 4.730 Å; angles 90.00, 100.01, 90.00 degrees
Space group C2/m (No. 12)
One atom of each set of equivalent atoms:
Re1 0.000 0.000 0.000 [2 per cell]
Ir1 0.000 0.500 0.500 [2 per cell]
Rh1 0.249 0.500 0.247 [4 per cell]

Which one sits at the top of the stability order? (three) does.

(one)
An optimized crystal structure of ReIrRh2. Source: the Alexandria database, functional PBE.

Cell lengths 6.180, 6.180, 6.180 Å; angles 90.00, 90.00, 90.00 degrees
Space group Fm-3m (No. 225)
One atom of each set of equivalent atoms:
Re1 0.000 0.000 0.000 [4 per cell]
Ir1 0.000 0.000 0.500 [4 per cell]
Rh1 0.250 0.250 0.250 [8 per cell]

(two)
An optimized crystal structure of ReIrRh2. Source: the Alexandria database, functional PBE.

Cell lengths 5.473, 5.486, 7.664 Å; angles 90.00, 90.00, 90.00 degrees
Space group F222 (No. 22)
One atom of each set of equivalent atoms:
Re1 0.000 0.000 0.000 [4 per cell]
Ir1 0.250 0.250 0.750 [4 per cell]
Rh1 0.000 0.000 0.500 [4 per cell]
Rh2 0.250 0.250 0.250 [4 per cell]

(three)
An optimized crystal structure of ReIrRh2. Source: the Alexandria database, functional PBE.

Cell lengths 2.731, 2.731, 7.751 Å; angles 90.00, 90.00, 90.00 degrees
Space group P4mm (No. 99)
One atom of each set of equivalent atoms:
Re1 0.000 0.000 0.000 [1 per cell]
Ir1 0.500 0.500 0.754 [1 per cell]
Rh1 0.000 0.000 0.501 [1 per cell]
Rh2 0.500 0.500 0.245 [1 per cell]

(four)
An optimized crystal structure of ReIrRh2. Source: the Alexandria database, functional PBE.

Cell lengths 6.182, 6.182, 6.182 Å; angles 90.00, 90.00, 90.00 degrees
Space group F-43m (No. 216)
One atom of each set of equivalent atoms:
Re1 0.000 0.000 0.000 [4 per cell]
Ir1 0.250 0.250 0.250 [4 per cell]
Rh1 0.000 0.000 0.500 [4 per cell]
Rh2 0.250 0.250 0.750 [4 per cell]

Which one sits at the top of the stability order? (three) does.

(one)
An optimized crystal structure of ReIr2Rh. Source: the Alexandria database, functional PBE.

Cell lengths 5.690, 5.690, 10.672 Å; angles 90.00, 90.00, 90.00 degrees
Space group I-42d (No. 122)
One atom of each set of equivalent atoms:
Re1 0.000 0.000 0.000 [4 per cell]
Ir1 0.246 0.250 0.125 [8 per cell]
Rh1 0.000 0.000 0.500 [4 per cell]

(two)
An optimized crystal structure of ReIr2Rh. Source: the Alexandria database, functional PBE.

Cell lengths 6.204, 6.204, 6.204 Å; angles 90.00, 90.00, 90.00 degrees
Space group Fm-3m (No. 225)
One atom of each set of equivalent atoms:
Re1 0.000 0.000 0.000 [4 per cell]
Ir1 0.250 0.250 0.250 [8 per cell]
Rh1 0.000 0.000 0.500 [4 per cell]

(three)
An optimized crystal structure of ReIr2Rh. Source: the Alexandria database, functional PBE.

Cell lengths 3.888, 3.888, 7.667 Å; angles 90.00, 90.00, 90.00 degrees
Space group I4/mmm (No. 139)
One atom of each set of equivalent atoms:
Re1 0.000 0.000 0.000 [2 per cell]
Ir1 0.000 0.500 0.250 [4 per cell]
Rh1 0.000 0.000 0.500 [2 per cell]

Which one sits at the top of the stability order? (three) does.

(one)
An optimized crystal structure of ReIr2Rh. Source: the Alexandria database, functional PBE.

Cell lengths 3.314, 3.314, 5.437 Å; angles 90.00, 90.00, 90.00 degrees
Space group P4/mmm (No. 123)
One atom of each set of equivalent atoms:
Re1 0.000 0.000 0.000 [1 per cell]
Ir1 0.500 0.500 0.249 [2 per cell]
Rh1 0.000 0.000 0.500 [1 per cell]

(two)
An optimized crystal structure of ReIr2Rh. Source: the Alexandria database, functional PBE.

Cell lengths 6.203, 6.203, 6.203 Å; angles 90.00, 90.00, 90.00 degrees
Space group F-43m (No. 216)
One atom of each set of equivalent atoms:
Re1 0.000 0.000 0.000 [4 per cell]
Ir1 0.000 0.000 0.500 [4 per cell]
Ir2 0.250 0.250 0.750 [4 per cell]
Rh1 0.250 0.250 0.250 [4 per cell]

(three)
An optimized crystal structure of ReIr2Rh. Source: the Alexandria database, functional PBE.

Cell lengths 3.864, 3.864, 7.768 Å; angles 90.00, 90.00, 90.00 degrees
Space group I-4m2 (No. 119)
One atom of each set of equivalent atoms:
Re1 0.000 0.000 0.000 [2 per cell]
Ir1 0.000 0.000 0.500 [2 per cell]
Ir2 0.000 0.500 0.250 [2 per cell]
Rh1 0.000 0.500 0.750 [2 per cell]

Which one sits at the top of the stability order? (three) does.

(one)
An optimized crystal structure of ReIr5Rh2. Source: the Alexandria database, functional PBE.

Cell lengths 6.630, 6.630, 11.051 Å; angles 90.00, 90.00, 90.00 degrees
Space group I4/mcm (No. 140)
One atom of each set of equivalent atoms:
Re1 0.000 0.000 0.250 [4 per cell]
Ir1 0.000 0.000 0.000 [4 per cell]
Ir2 0.147 0.353 0.170 [16 per cell]
Rh1 0.139 0.361 0.500 [8 per cell]

(two)
An optimized crystal structure of ReIr5Rh2. Source: the Alexandria database, functional PBE.

Cell lengths 3.873, 3.873, 15.461 Å; angles 90.00, 90.00, 90.00 degrees
Space group I4/mmm (No. 139)
One atom of each set of equivalent atoms:
Re1 0.000 0.000 0.000 [2 per cell]
Ir1 0.000 0.000 0.500 [2 per cell]
Ir2 0.000 0.500 0.122 [8 per cell]
Rh1 0.000 0.000 0.254 [4 per cell]

Which one sits at the top of the stability order? (two) does.

(one)
An optimized crystal structure of ReIr2Rh2. Source: the Alexandria database, functional PBE.

Cell lengths 2.732, 3.869, 13.673 Å; angles 90.00, 90.00, 90.00 degrees
Space group Immm (No. 71)
One atom of each set of equivalent atoms:
Re1 0.000 0.000 0.000 [2 per cell]
Ir1 0.000 0.000 0.402 [4 per cell]
Rh1 0.000 0.000 0.200 [4 per cell]

(two)
An optimized crystal structure of ReIr2Rh2. Source: the Alexandria database, functional PBE.

Cell lengths 4.139, 5.422, 6.990 Å; angles 90.00, 90.00, 90.00 degrees
Space group Immm (No. 71)
One atom of each set of equivalent atoms:
Re1 0.000 0.000 0.000 [2 per cell]
Ir1 0.000 0.225 0.500 [4 per cell]
Rh1 0.000 0.500 0.189 [4 per cell]

Which one sits at the top of the stability order? (one) does.